Computed, not measured: a geometry-optimized Tb3HoTm structure at the GGA-PBE level of DFT.

extended XYZ file:
```
20
Lattice="9.222 0.000 0.000 0.000 7.423 0.000 0.000 0.000 9.223" Properties=species:S:1:pos:R:3 pbc="T T T"
Tb 1.186 7.420 1.185
Tb 1.186 3.715 1.185
Tb 1.571 1.856 7.659
Tb 3.040 5.567 3.047
Tb 3.425 0.003 5.797
Tb 3.425 3.708 5.797
Tb 5.797 7.420 3.426
Tb 5.797 3.715 3.426
Tb 6.182 1.856 6.176
Tb 7.651 5.567 1.564
Tb 8.037 0.003 8.038
Tb 8.037 3.708 8.038
Ho 0.000 0.000 4.611
Ho 0.000 3.712 4.611
Ho 4.611 0.000 0.000
Ho 4.611 3.712 0.000
Tm 1.563 5.567 7.650
Tm 3.048 1.856 3.038
Tm 6.175 5.567 6.185
Tm 7.659 1.856 1.573
```

Output
Its formation energy is 0.10 eV/atom. The density of states at the Fermi level is 0.79 states/eV per atom. The spin magnetization is 0.00 μB per cell.



Computed, not measured: a geometry-optimized SrPm2Ge structure at the GGA-PBE level of DFT.

extended XYZ file:
```
12
Lattice="4.198 0.000 0.000 -2.099 3.636 0.000 0.000 0.000 30.711" Properties=species:S:1:pos:R:3 pbc="T T T"
Sr 0.000 0.000 0.000
Sr 0.000 2.424 20.474
Sr 2.099 1.212 10.237
Pm 0.000 0.000 6.796
Pm 0.000 0.000 13.771
Pm 0.000 2.424 3.534
Pm 0.000 2.424 27.270
Pm 2.099 1.212 17.033
Pm 2.099 1.212 24.008
Ge 0.000 0.000 25.651
Ge 0.000 2.424 15.414
Ge 2.099 1.212 5.177
```

Output
Its formation energy is -0.29 eV/atom. The density of states at the Fermi level is 1.29 states/eV per atom. The spin magnetization is 1.98 μB per cell.



Computed, not measured: a geometry-optimized CeTmBeZn structure at the GGA-PBE level of DFT.

extended XYZ file:
```
16
Lattice="6.976 0.000 0.000 0.000 6.976 0.000 0.000 0.000 6.976" Properties=species:S:1:pos:R:3 pbc="T T T"
Ce 0.000 0.000 0.000
Ce 0.000 3.488 3.488
Ce 3.488 0.000 3.488
Ce 3.488 3.488 0.000
Tm 0.000 0.000 3.488
Tm 0.000 3.488 0.000
Tm 3.488 0.000 0.000
Tm 3.488 3.488 3.488
Be 1.744 1.744 1.744
Be 1.744 5.232 5.232
Be 5.232 1.744 5.232
Be 5.232 5.232 1.744
Zn 1.744 1.744 5.232
Zn 1.744 5.232 1.744
Zn 5.232 1.744 1.744
Zn 5.232 5.232 5.232
```

Output
Its formation energy is -0.04 eV/atom. The density of states at the Fermi level is 1.72 states/eV per atom. The spin magnetization is 0.00 μB per cell.



Computed, not measured: a geometry-optimized Ba2Tl6Au structure at the GGA-PBE level of DFT.

extended XYZ file:
```
9
Lattice="7.109 0.000 0.000 -3.555 6.157 0.000 0.000 0.000 6.587" Properties=species:S:1:pos:R:3 pbc="T T T"
Ba 0.000 4.105 2.189
Ba 3.555 2.052 4.399
Tl 0.000 2.138 5.380
Tl -1.703 5.088 5.380
Tl 1.851 1.069 1.208
Tl 1.703 5.088 5.380
Tl 5.258 1.069 1.208
Tl 3.555 4.019 1.208
Au 0.000 0.000 3.294
```

Output
Its formation energy is -0.28 eV/atom. The density of states at the Fermi level is 0.65 states/eV per atom. The spin magnetization is 0.00 μB per cell.



Computed, not measured: a geometry-optimized Nd2SmHo structure at the GGA-PBE level of DFT.

extended XYZ file:
```
16
Lattice="8.157 0.000 0.000 0.000 8.157 0.000 0.000 0.000 8.157" Properties=species:S:1:pos:R:3 pbc="T T T"
Nd 2.039 2.039 2.039
Nd 2.039 2.039 6.118
Nd 2.039 6.118 2.039
Nd 2.039 6.118 6.118
Nd 6.118 2.039 2.039
Nd 6.118 2.039 6.118
Nd 6.118 6.118 2.039
Nd 6.118 6.118 6.118
Sm 0.000 0.000 0.000
Sm 0.000 4.078 4.078
Sm 4.078 0.000 4.078
Sm 4.078 4.078 0.000
Ho 0.000 0.000 4.078
Ho 0.000 4.078 0.000
Ho 4.078 0.000 0.000
Ho 4.078 4.078 4.078
```

Output
Its formation energy is 0.13 eV/atom. The density of states at the Fermi level is 2.18 states/eV per atom. The spin magnetization is 0.04 μB per cell.



Computed, not measured: a geometry-optimized Na3Np3IrSe8 structure at the GGA-PBE level of DFT.

extended XYZ file:
```
15
Lattice="3.990 2.304 7.239 -3.990 2.304 7.239 0.000 -4.607 7.239" Properties=species:S:1:pos:R:3 pbc="T T T"
Na -1.995 -1.152 7.239
Na -1.995 1.152 14.477
Na 0.000 2.304 7.239
Np -3.990 0.000 10.858
Np -1.995 1.152 3.619
Np 1.995 1.152 3.619
Ir 0.000 0.000 10.858
Se 0.000 0.000 5.316
Se -1.816 -1.048 12.414
Se 0.000 -2.097 9.302
Se -1.816 1.048 9.302
Se 1.816 -1.048 12.414
Se 0.000 2.097 12.414
Se 1.816 1.048 9.302
Se 0.000 0.000 16.400
```

Output
The calculation puts the raw formation energy at -0.9863 eV per atom. The density of states at the Fermi level is 1.94 states/eV per atom. The spin magnetization is 11.00 μB per cell.